# La3AuO (PBE, optimized geometry)
# Energy above the lowest structure with this stoichiometry, meV per atom: 1243
# Formation energy (no corrections), eV/atom: -0.218
# Total moment, Bohr magnetons per cell: 0.00
# E_tot, eV per cell: -96.43
data_La3AuO
_cell_length_a 5.431
_cell_length_b 5.431
_cell_length_c 23.254
_cell_angle_alpha 90.00
_cell_angle_beta 90.00
_cell_angle_gamma 90.00
_space_group_name_H-M_alt 'I -4 m 2'
_space_group_IT_number 119
_space_group_name_Hall 'I -4 -2'
loop_
_atom_site_label
_atom_site_fract_x
_atom_site_fract_y
_atom_site_fract_z
La1 0.000 0.000 0.202
La2 0.000 0.249 0.619
Au1 0.000 0.000 0.500
Au2 0.000 0.500 0.750
O1 0.000 0.500 0.162



# PrBiPt4 (PBE, optimized geometry)
# Total moment, Bohr magnetons per cell: 0.00
# E_tot, eV per cell: -146.95
# E_form, kcal/mol of atoms: -15.04
data_PrBiPt4
_cell_length_a 7.804
_cell_length_b 7.804
_cell_length_c 7.804
_cell_angle_alpha 90.00
_cell_angle_beta 90.00
_cell_angle_gamma 90.00
_space_group_name_H-M_alt 'F -4 3 m'
_space_group_IT_number 216
_space_group_name_Hall 'F -4 2 3'
loop_
_atom_site_label
_atom_site_fract_x
_atom_site_fract_y
_atom_site_fract_z
Pr1 0.000 0.000 0.000
Bi1 0.250 0.250 0.250
Pt1 0.125 0.125 0.625



# Ti2Fe3Pt4 (PBE, optimized geometry)
# Total moment, Bohr magnetons per cell: 15.37
# E_tot, eV per cell: -140.70
# E_form, kcal/mol of atoms: -12.83
data_Ti2Fe3Pt4
_cell_length_a 8.638
_cell_length_b 3.852
_cell_length_c 8.172
_cell_angle_alpha 90.00
_cell_angle_beta 107.52
_cell_angle_gamma 90.00
_space_group_name_H-M_alt 'C 1 2/m 1'
_space_group_IT_number 12
loop_
_space_group_symop_operation_xyz
'x,y,z'
'-x,-y,-z'
'-x,y,-z'
'x,-y,z'
'x+1/2,y+1/2,z'
'-x+1/2,-y+1/2,-z'
'-x+1/2,y+1/2,-z'
'x+1/2,-y+1/2,z'
loop_
_atom_site_label
_atom_site_fract_x
_atom_site_fract_y
_atom_site_fract_z
Ti1 0.166 0.000 0.219
Fe1 0.000 0.500 0.000
Fe2 0.164 0.000 0.549
Pt1 0.008 0.500 0.336
Pt2 0.168 0.000 0.887



# LiMnReAu2 (PBE, optimized geometry)
# Total moment, Bohr magnetons per cell: 0.70
# E_tot, eV per cell: -24.07
# E_form, kcal/mol of atoms: 27.75
data_LiMnReAu2
_cell_length_a 4.231
_cell_length_b 4.231
_cell_length_c 4.099
_cell_angle_alpha 90.00
_cell_angle_beta 90.00
_cell_angle_gamma 90.00
_space_group_name_H-M_alt 'P 4/m m m'
_space_group_IT_number 123
_space_group_name_Hall '-P 4 2'
loop_
_atom_site_label
_atom_site_fract_x
_atom_site_fract_y
_atom_site_fract_z
Li1 0.000 0.000 0.000
Mn1 0.000 0.000 0.500
Re1 0.500 0.500 0.500
Au1 0.000 0.500 0.000